Density functional theory data (PBE) for BaCo2Cu after structural relaxation.

```
BaCo2Cu
1.0
-2.635 -1.694 0.342
1.463 -2.519 -1.201
2.148 -1.975 6.760
Co Cu Ba
2 1 1
Direct
0.000 0.000 0.095
0.500 0.500 0.230
0.000 0.000 0.421
0.500 0.500 0.754
```

The value obtained for the calculated formation energy is 0.48 eV per atom. The calculation puts the density of states at the Fermi level at 3.36 states/eV per cell. The final energy comes out at -18.30 eV per formula unit.